[1]
VASP calculation (GGA-PBE) on CePm2YBi5 after structural relaxation.

Unit cell a=5.569 b=5.569 c=11.885 alpha=90.00 beta=90.00 gamma=90.00
Element x y z (fractional)
Ce 0.000 0.000 0.000
Pm 0.500 0.500 0.225
Pm 0.500 0.500 0.775
Y 0.000 0.000 0.500
Bi 0.000 0.000 0.255
Bi 0.000 0.000 0.745
Bi 0.000 0.500 0.000
Bi 0.500 0.000 0.000
Bi 0.500 0.500 0.500

## Properties
**Symmetry**: P4/mmm (123)


[2]
VASP calculation (GGA-PBE) on Ce2PmY3Bi6 after structural relaxation.

Unit cell a=10.141 b=10.141 c=9.070 alpha=102.74 beta=102.74 gamma=25.91
Element x y z (fractional)
Ce 0.166 0.166 0.332
Ce 0.834 0.834 0.668
Pm 0.500 0.500 0.000
Y 0.166 0.166 0.834
Y 0.500 0.500 0.500
Y 0.834 0.834 0.166
Bi 0.001 0.001 0.746
Bi 0.332 0.332 0.920
Bi 0.335 0.335 0.413
Bi 0.665 0.665 0.587
Bi 0.668 0.668 0.080
Bi 0.999 0.999 0.254

## Properties
**Symmetry**: C2/m (12)


DFT total energy
In order: -41.735; -69.765
Unit: eV per formula unit
Size of the total moment
In order: 0.00; 1.62
Unit: Bohr magnetons per cell
ΔE_f
In order: -47.8; -872.4
Unit: meV/atom